This record from the Alexandria database describes a relaxed structure of AsIrO5. The functional is PBE.

a b c (Å): 5.128 5.128 5.128
angles (deg): 140.74 106.57 86.59
Element x y z (fractional)
As1 0.000 0.000 0.000
Ir1 0.500 0.500 0.000
O1 0.000 0.500 0.500
O2 0.249 0.249 0.000
O3 0.308 0.000 0.308
O4 0.692 0.000 0.692
O5 0.751 0.751 0.000

- calculated volume (Å³/atom) = 11.3
- formation energy without anion corrections (eV/atom) = -0.6164
- space group = Immm
- spin magnetization (μB per cell) = 1.9



This record from the Alexandria database describes a relaxed structure of AsP2IrO. The functional is PBE.

a b c (Å): 4.693 4.693 3.463
angles (deg): 90.00 90.00 90.00
Element x y z (fractional)
As1 0.000 0.000 0.000
P1 0.000 0.500 0.000
P2 0.500 0.000 0.000
Ir1 0.500 0.500 0.500
O1 0.000 0.000 0.500

- calculated volume (Å³/atom) = 15.3
- formation energy without anion corrections (eV/atom) = 0.6506
- space group = P4/mmm
- spin magnetization (μB per cell) = 0.0
- excess energy over the best structure of this formula in the dataset (meV/atom) = 367.0



This record from the Alexandria database describes a relaxed structure of AsPIrO2. The functional is PBE.

a b c (Å): 3.744 3.744 5.481
angles (deg): 90.00 90.00 90.00
Element x y z (fractional)
As1 0.000 0.000 0.000
P1 0.500 0.500 0.000
Ir1 0.500 0.500 0.500
O1 0.000 0.500 0.500
O2 0.500 0.000 0.500

- calculated volume (Å³/atom) = 15.4
- formation energy without anion corrections (eV/atom) = -0.0154
- space group = P4/mmm
- spin magnetization (μB per cell) = 0.6
- excess energy over the best structure of this formula in the dataset (meV/atom) = 0.0